First-principles (GGA-PBE) data for a relaxed structure of Y6Ho8Mg, as listed in Alexandria via LeMat-Bulk.

The structure belongs to space group R-3 (No. 148, hexagonal axes); the cell edges are 8.9870, 8.9870 and 20.3139 Å and the angles 90.00°, 90.00° and 120.00°. The distinct sites, in fractional coordinates, are Y at (0.0671, 0.8144, 0.2056), Ho at (0.0000, 0.0000, 0.0757), Ho at (0.0815, 0.5275, 0.3105) and Mg at (0.0000, 0.0000, 0.5000).

Its calculated volume is 31.6 Å³/atom. Its density of states at the Fermi level is 21.38 states/eV/f.u. Its energy above the lowest structure with this stoichiometry is 0.0 meV/atom. The total energy is -5.04 eV/atom.

First-principles (GGA-PBE) data for a relaxed structure of Si2HgSe, as listed in Alexandria via LeMat-Bulk.

The structure belongs to space group Immm (No. 71); the cell edges are 3.4370, 5.5878 and 8.5980 Å and the angles 90.00°, 90.00° and 90.00°. The distinct sites, in fractional coordinates, are Si at (0.0000, 0.0000, 0.2274), Hg at (0.0000, 0.5000, 0.0000) and Se at (0.0000, 0.5000, 0.5000).

Its calculated volume is 20.6 Å³/atom. Its density of states at the Fermi level is 1.84 states/eV/f.u. For the raw formation energy, the calculation gives 0.52 eV/atom. Its energy above the lowest structure with this stoichiometry is 370.2 meV/atom. The total energy is -3.14 eV/atom.

First-principles (GGA-PBE) data for a relaxed structure of AcHoTc4, as listed in Alexandria via LeMat-Bulk.

The structure belongs to space group F-43m (No. 216); the cell edges are 7.7965, 7.7965 and 7.7965 Å and the angles 90.00°, 90.00° and 90.00°. The distinct sites, in fractional coordinates, are Ac at (0.0000, 0.0000, 0.0000), Ho at (0.2500, 0.2500, 0.2500) and Tc at (0.1245, 0.1245, 0.6245).

Its calculated volume is 19.7 Å³/atom. Its density of states at the Fermi level is 10.62 states/eV/f.u. The total energy is -8.22 eV/atom.

First-principles (GGA-PBE) data for a relaxed structure of Sn4Hg4Pb5, as listed in Alexandria via LeMat-Bulk.

The structure belongs to space group I4/m (No. 87); the cell edges are 12.5411, 12.5411 and 4.7001 Å and the angles 90.00°, 90.00° and 90.00°. The distinct sites, in fractional coordinates, are Sn at (0.0837, 0.6057, 0.0000), Hg at (0.1511, 0.2300, 0.0000), Pb at (0.0000, 0.0000, 0.0000) and Pb at (0.0480, 0.7986, 0.5000).

Its calculated volume is 28.4 Å³/atom. Its density of states at the Fermi level is 5.32 states/eV/f.u. The total energy is -2.72 eV/atom.